No. 1
NpTiPdO6 | GGA-PBE | relaxed

abc: 5.3803 5.3803 9.1646
angles: 90.00 90.00 120.00
With the nearest neighbours (Å) after each atom.
Space group P-31c (No. 163)
Inequivalent atoms, fractional coordinates:
Np (0.3333, 0.6667, 0.2500) [2 per cell]  6 O 2.06
Ti (0.3333, 0.6667, 0.7500) [2 per cell]  6 O 1.99
Pd (0.0000, 0.0000, 0.0000) [2 per cell]  6 O 2.29
O (0.0106, 0.3629, 0.6357) [12 per cell]  1 Ti 1.99, 1 Np 2.06

***

No. 2
Np3Tl2PdO12 | GGA-PBE | relaxed

abc: 7.9033 7.9033 17.9678
angles: 90.00 90.00 120.00
With the nearest neighbours (Å) after each atom.
Space group R-3m (No. 166, hexagonal axes)
Inequivalent atoms, fractional coordinates:
Np (0.0000, 0.5000, 0.0000) [9 per cell]  6 O 1.95-2.11
Tl (0.0000, 0.0000, 0.1530) [6 per cell]  6 O 3.13-3.25
Pd (0.0000, 0.0000, 0.5000) [3 per cell]  6 O 2.07
O (0.0782, 0.5391, 0.1044) [18 per cell]  1 Np 1.95, 1 Pd 2.07
O (0.0826, 0.5413, 0.3598) [18 per cell]  2 Np 2.11

***

No. 3
NpTl2PdO8 | GGA-PBE | relaxed

abc: 5.1341 6.5109 5.2264
angles: 90.00 93.38 90.00
With the nearest neighbours (Å) after each atom.
Space group P2/m (No. 10)
Inequivalent atoms, fractional coordinates:
Np (0.0000, 0.0000, 0.0000) [1 per cell]  6 O 2.05-2.09
Tl (0.5000, 0.2589, 0.5000) [2 per cell]  4 O 2.17-2.23
Pd (0.0000, 0.5000, 0.0000) [1 per cell]  6 O 2.06-2.09
O (0.1819, 0.2468, 0.8424) [4 per cell]  1 Np 2.05, 1 Pd 2.09
O (0.2695, 0.5000, 0.3085) [2 per cell]  1 Pd 2.06, 2 Tl 2.17
O (0.2834, 0.0000, 0.3052) [2 per cell]  1 Np 2.09, 2 Tl 2.23

***

No. 4
NpTlPdO6 | GGA-PBE | relaxed

abc: 5.4326 5.4326 11.5549
angles: 90.00 90.00 120.00
With the nearest neighbours (Å) after each atom.
Space group P-31c (No. 163)
Inequivalent atoms, fractional coordinates:
Np (0.3333, 0.6667, 0.2500) [2 per cell]  6 O 2.04
Tl (0.0000, 0.0000, 0.0000) [2 per cell]  6 O 2.69
Pd (0.3333, 0.6667, 0.7500) [2 per cell]  6 O 2.05
O (0.0013, 0.3697, 0.1549) [12 per cell]  1 Np 2.04, 1 Pd 2.05

***

No. 5
NpTl2Pd2O6 | GGA-PBE | relaxed

abc: 6.2480 9.2528 7.2970
angles: 90.00 114.81 90.00
With the nearest neighbours (Å) after each atom.
Space group C2/m (No. 12)
Inequivalent atoms, fractional coordinates:
Np (0.0000, 0.0000, 0.0000) [2 per cell]  4 O 2.02
Tl (0.0000, 0.3203, 0.5000) [4 per cell]  6 O 2.72-2.90
Pd (0.0000, 0.3336, 0.0000) [4 per cell]  4 O 2.07-2.09
O (0.0207, 0.1618, 0.1933) [8 per cell]  1 Np 2.02, 1 Pd 2.09
O (0.0782, 0.5000, 0.8482) [4 per cell]  2 Pd 2.07

***

No. 6
NpTlPd2O6 | GGA-PBE | relaxed

abc: 5.5721 5.5784 6.0378
angles: 67.21 82.90 67.20
With the nearest neighbours (Å) after each atom.
Space group P1 (No. 1)
Inequivalent atoms, fractional coordinates:
Np (0.0000, 0.0000, 0.0000) [1 per cell]  5 O 1.97-2.15
Tl (0.5234, 0.5074, 0.4684) [1 per cell]  3 O 2.55-2.72
Pd (0.3148, 0.3591, 0.0151) [1 per cell]  4 O 1.99-2.16
Pd (0.8456, 0.8080, 0.5309) [1 per cell]  4 O 2.01-2.19
O (0.0189, 0.4252, 0.8003) [1 per cell]  2 Pd 2.05-2.06, 1 Np 2.24
O (0.2543, 0.0062, 0.1996) [1 per cell]  1 Pd 1.99, 1 Np 1.99
O (0.2972, 0.7623, 0.8602) [1 per cell]  1 Np 2.01, 1 Pd 2.04
O (0.6858, 0.1769, 0.2049) [1 per cell]  1 Np 2.15, 2 Pd 2.16-2.19
O (0.7702, 0.9930, 0.7815) [1 per cell]  1 Np 1.97, 1 Pd 2.06
O (0.9918, 0.6407, 0.2798) [1 per cell]  1 Pd 2.01, 1 Np 2.07

***

| no. | E (eV/atom) |
| --- | --- |
| 1 | -8.3483 |
| 2 | -8.0211 |
| 3 | -6.3998 |
| 4 | -7.0397 |
| 5 | -6.5096 |
| 6 | -6.8218 |